Version 1
DFT (PBE-GGA) results for Re3PdSe after structural relaxation.

Geometry as POSCAR:
```
Re3PdSe
1.0
4.7352 0.0000 0.0000
0.0000 4.7352 0.0000
0.0000 0.0000 4.7352
Re Pd Se
3 1 1
direct
0.0000 0.0000 0.5000 Re
0.0000 0.5000 0.0000 Re
0.5000 0.0000 0.0000 Re
0.0000 0.0000 0.0000 Pd
0.5000 0.5000 0.5000 Se
```

Version 2
DFT (PBE-GGA) results for Re3PdSe after structural relaxation.

Geometry as POSCAR:
```
Re3PdSe
1.0
4.5077 0.0000 0.0000
0.0000 4.5077 0.0000
0.0000 0.0000 4.5077
Re Pd Se
3 1 1
direct
0.0000 0.0000 0.5000 Re
0.0000 0.5000 0.0000 Re
0.5000 0.0000 0.0000 Re
0.5000 0.5000 0.5000 Pd
0.0000 0.0000 0.0000 Se
```

Stability check: which of them is least stable? version 1.

Version 1
DFT (PBE-GGA) results for Re3SiPd after structural relaxation.

Geometry as POSCAR:
```
Re3SiPd
1.0
4.6941 0.0000 0.0000
0.0000 4.6941 0.0000
0.0000 0.0000 4.6941
Re Si Pd
3 1 1
direct
0.0000 0.0000 0.5000 Re
0.0000 0.5000 0.0000 Re
0.5000 0.0000 0.0000 Re
0.5000 0.5000 0.5000 Si
0.0000 0.0000 0.0000 Pd
```

Version 2
DFT (PBE-GGA) results for Re3SiPd after structural relaxation.

Geometry as POSCAR:
```
Re3SiPd
1.0
4.3844 0.0000 0.0000
0.0000 4.3844 0.0000
0.0000 0.0000 4.3844
Re Si Pd
3 1 1
direct
0.0000 0.0000 0.5000 Re
0.0000 0.5000 0.0000 Re
0.5000 0.0000 0.0000 Re
0.0000 0.0000 0.0000 Si
0.5000 0.5000 0.5000 Pd
```

Stability check: which of them is least stable? version 1.

Version 1
DFT (PBE-GGA) results for Re2Sn2Pd after structural relaxation.

Geometry as POSCAR:
```
Re2Sn2Pd
1.0
-1.7619 1.7619 8.2345
1.7619 -1.7619 8.2345
1.7619 1.7619 -8.2345
Re Sn Pd
2 2 1
direct
0.2500 0.7500 0.5000 Re
0.7500 0.2500 0.5000 Re
0.1043 0.1043 0.0000 Sn
0.8957 0.8957 0.0000 Sn
0.5000 0.5000 0.0000 Pd
```

Version 2
DFT (PBE-GGA) results for Re2Sn2Pd after structural relaxation.

Geometry as POSCAR:
```
Re2Sn2Pd
1.0
7.8887 0.0000 0.0000
0.0000 7.8887 0.0000
0.0000 0.0000 3.0482
Re Sn Pd
4 4 2
direct
0.1096 0.3904 0.0000 Re
0.3904 0.8904 0.0000 Re
0.6096 0.1096 0.0000 Re
0.8904 0.6096 0.0000 Re
0.1819 0.6819 0.5000 Sn
0.3181 0.1819 0.5000 Sn
0.6819 0.8181 0.5000 Sn
0.8181 0.3181 0.5000 Sn
0.0000 0.0000 0.5000 Pd
0.5000 0.5000 0.5000 Pd
```

Stability check: which of them is least stable? version 2.

Version 1
DFT (PBE-GGA) results for Sr2RePd after structural relaxation.

Geometry as POSCAR:
```
Sr2RePd
1.0
0.0000 3.7523 3.7523
3.7523 0.0000 3.7523
3.7523 3.7523 0.0000
Sr Re Pd
2 1 1
direct
0.2500 0.2500 0.2500 Sr
0.7500 0.7500 0.7500 Sr
0.0000 0.0000 0.0000 Re
0.5000 0.5000 0.5000 Pd
```

Version 2
DFT (PBE-GGA) results for Sr2RePd after structural relaxation.

Geometry as POSCAR:
```
Sr2RePd
1.0
-4.1472 4.1472 3.1161
4.1472 -4.1472 3.1161
4.1472 4.1472 -3.1161
Sr Re Pd
4 2 2
direct
0.1016 0.6250 0.9766 Sr
0.3750 0.3516 0.4766 Sr
0.6484 0.1250 0.0234 Sr
0.8750 0.8984 0.5234 Sr
0.2500 0.7500 0.5000 Re
0.5000 0.5000 0.0000 Re
0.0000 0.0000 0.0000 Pd
0.7500 0.2500 0.5000 Pd
```

Stability check: which of them is least stable? version 2.

Version 1
DFT (PBE-GGA) results for SrRe3Pd after structural relaxation.

Geometry as POSCAR:
```
SrRe3Pd
1.0
4.8370 0.0000 0.0000
0.0000 4.8370 0.0000
0.0000 0.0000 4.8370
Sr Re Pd
1 3 1
direct
0.0000 0.0000 0.0000 Sr
0.0000 0.5000 0.5000 Re
0.5000 0.0000 0.5000 Re
0.5000 0.5000 0.0000 Re
0.5000 0.5000 0.5000 Pd
```

Version 2
DFT (PBE-GGA) results for SrRe3Pd after structural relaxation.

Geometry as POSCAR:
```
SrRe3Pd
1.0
4.7199 0.0000 0.0000
0.0000 4.7199 0.0000
0.0000 0.0000 4.7199
Sr Re Pd
1 3 1
direct
0.0000 0.0000 0.0000 Sr
0.0000 0.0000 0.5000 Re
0.0000 0.5000 0.0000 Re
0.5000 0.0000 0.0000 Re
0.5000 0.5000 0.5000 Pd
```

Stability check: which of them is least stable? version 2.

Version 1
DFT (PBE-GGA) results for SrRePd2 after structural relaxation.

Geometry as POSCAR:
```
SrRePd2
1.0
-2.5732 2.5732 8.2594
2.5732 -2.5732 8.2594
2.5732 2.5732 -8.2594
Sr Re Pd
2 2 4
direct
0.0000 0.0000 0.0000 Sr
0.7500 0.2500 0.5000 Sr
0.2500 0.7500 0.5000 Re
0.5000 0.5000 0.0000 Re
0.3221 0.6250 0.1971 Pd
0.3750 0.5721 0.6971 Pd
0.4279 0.1250 0.8029 Pd
0.8750 0.6779 0.3029 Pd
```

Version 2
DFT (PBE-GGA) results for SrRePd2 after structural relaxation.

Geometry as POSCAR:
```
SrRePd2
1.0
0.0000 3.4100 3.4100
3.4100 0.0000 3.4100
3.4100 3.4100 0.0000
Sr Re Pd
1 1 2
direct
0.0000 0.0000 0.0000 Sr
0.5000 0.5000 0.5000 Re
0.2500 0.2500 0.2500 Pd
0.7500 0.7500 0.7500 Pd
```

Stability check: which of them is least stable? version 1.

Version 1
DFT (PBE-GGA) results for SrRePd3 after structural relaxation.

Geometry as POSCAR:
```
SrRePd3
1.0
4.9121 0.0000 0.0000
0.0000 4.9121 0.0000
0.0000 0.0000 4.9121
Sr Re Pd
1 1 3
direct
0.0000 0.0000 0.0000 Sr
0.5000 0.5000 0.5000 Re
0.0000 0.5000 0.5000 Pd
0.5000 0.0000 0.5000 Pd
0.5000 0.5000 0.0000 Pd
```

Version 2
DFT (PBE-GGA) results for SrRePd3 after structural relaxation.

Geometry as POSCAR:
```
SrRePd3
1.0
5.0416 0.0000 0.0000
0.0000 5.0416 0.0000
0.0000 0.0000 5.0416
Sr Re Pd
1 1 3
direct
0.0000 0.0000 0.0000 Sr
0.5000 0.5000 0.5000 Re
0.0000 0.0000 0.5000 Pd
0.0000 0.5000 0.0000 Pd
0.5000 0.0000 0.0000 Pd
```

Stability check: which of them is least stable? version 2.

Version 1
DFT (PBE-GGA) results for TaRe2Pd after structural relaxation.

Geometry as POSCAR:
```
TaRe2Pd
1.0
-1.8793 1.8793 9.7163
1.8793 -1.8793 9.7163
1.8793 1.8793 -9.7163
Ta Re Pd
2 4 2
direct
0.0000 0.0000 0.0000 Ta
0.7500 0.2500 0.5000 Ta
0.1500 0.6250 0.0250 Re
0.3750 0.4000 0.5250 Re
0.6000 0.1250 0.9750 Re
0.8750 0.8500 0.4750 Re
0.2500 0.7500 0.5000 Pd
0.5000 0.5000 0.0000 Pd
```

Version 2
DFT (PBE-GGA) results for TaRe2Pd after structural relaxation.

Geometry as POSCAR:
```
TaRe2Pd
1.0
0.0000 3.1669 3.1669
3.1669 0.0000 3.1669
3.1669 3.1669 0.0000
Ta Re Pd
1 2 1
direct
0.0000 0.0000 0.0000 Ta
0.2500 0.2500 0.2500 Re
0.7500 0.7500 0.7500 Re
0.5000 0.5000 0.5000 Pd
```

Stability check: which of them is least stable? version 1.

Version 1
DFT (PBE-GGA) results for TaRe3Pd after structural relaxation.

Geometry as POSCAR:
```
TaRe3Pd
1.0
4.6292 0.0000 0.0000
0.0000 4.6292 0.0000
0.0000 0.0000 4.6292
Ta Re Pd
1 3 1
direct
0.0000 0.0000 0.0000 Ta
0.0000 0.5000 0.5000 Re
0.5000 0.0000 0.5000 Re
0.5000 0.5000 0.0000 Re
0.5000 0.5000 0.5000 Pd
```

Version 2
DFT (PBE-GGA) results for TaRe3Pd after structural relaxation.

Geometry as POSCAR:
```
TaRe3Pd
1.0
4.7201 0.0000 0.0000
0.0000 4.7201 0.0000
0.0000 0.0000 4.7201
Ta Re Pd
1 3 1
direct
0.0000 0.0000 0.0000 Ta
0.0000 0.0000 0.5000 Re
0.0000 0.5000 0.0000 Re
0.5000 0.0000 0.0000 Re
0.5000 0.5000 0.5000 Pd
```

Stability check: which of them is least stable? version 1.

Version 1
DFT (PBE-GGA) results for TaRePd2 after structural relaxation.

Geometry as POSCAR:
```
TaRePd2
1.0
0.0000 3.1760 3.1760
3.1760 0.0000 3.1760
3.1760 3.1760 0.0000
Ta Re Pd
1 1 2
direct
0.0000 0.0000 0.0000 Ta
0.5000 0.5000 0.5000 Re
0.2500 0.2500 0.2500 Pd
0.7500 0.7500 0.7500 Pd
```

Version 2
DFT (PBE-GGA) results for TaRePd2 after structural relaxation.

Geometry as POSCAR:
```
TaRePd2
1.0
-1.8960 1.8960 9.4500
1.8960 -1.8960 9.4500
1.8960 1.8960 -9.4500
Ta Re Pd
2 2 4
direct
0.0000 0.0000 0.0000 Ta
0.7500 0.2500 0.5000 Ta
0.2500 0.7500 0.5000 Re
0.5000 0.5000 0.0000 Re
0.1290 0.6250 0.0040 Pd
0.3750 0.3790 0.5040 Pd
0.6210 0.1250 0.9960 Pd
0.8750 0.8710 0.4960 Pd
```

Stability check: which of them is least stable? version 2.

Version 1
DFT (PBE-GGA) results for TiRe3Pd after structural relaxation.

Geometry as POSCAR:
```
TiRe3Pd
1.0
4.5028 0.0000 0.0000
0.0000 4.5028 0.0000
0.0000 0.0000 4.5028
Ti Re Pd
1 3 1
direct
0.0000 0.0000 0.0000 Ti
0.0000 0.0000 0.5000 Re
0.0000 0.5000 0.0000 Re
0.5000 0.0000 0.0000 Re
0.5000 0.5000 0.5000 Pd
```

Version 2
DFT (PBE-GGA) results for TiRe3Pd after structural relaxation.

Geometry as POSCAR:
```
TiRe3Pd
1.0
4.6612 0.0000 0.0000
0.0000 4.6612 0.0000
0.0000 0.0000 4.6612
Ti Re Pd
1 3 1
direct
0.0000 0.0000 0.0000 Ti
0.0000 0.5000 0.5000 Re
0.5000 0.0000 0.5000 Re
0.5000 0.5000 0.0000 Re
0.5000 0.5000 0.5000 Pd
```

Stability check: which of them is least stable? version 2.

Version 1
DFT (PBE-GGA) results for Ti2RePd2 after structural relaxation.

Geometry as POSCAR:
```
Ti2RePd2
1.0
1.5549 -8.3593 0.0000
1.5549 8.3593 0.0000
0.0000 0.0000 3.1072
Ti Re Pd
2 1 2
direct
0.0917 0.9083 0.0000 Ti
0.9083 0.0917 0.0000 Ti
0.5000 0.5000 0.5000 Re
0.3187 0.6813 0.5000 Pd
0.6813 0.3187 0.5000 Pd
```

Version 2
DFT (PBE-GGA) results for Ti2RePd2 after structural relaxation.

Geometry as POSCAR:
```
Ti2RePd2
1.0
7.4201 0.0000 0.0000
0.0000 7.4201 0.0000
0.0000 0.0000 2.8540
Ti Re Pd
4 2 4
direct
0.1756 0.3244 0.0000 Ti
0.3244 0.8244 0.0000 Ti
0.6756 0.1756 0.0000 Ti
0.8244 0.6756 0.0000 Ti
0.0000 0.0000 0.5000 Re
0.5000 0.5000 0.5000 Re
0.1272 0.6272 0.5000 Pd
0.3728 0.1272 0.5000 Pd
0.6272 0.8728 0.5000 Pd
0.8728 0.3728 0.5000 Pd
```

Stability check: which of them is least stable? version 2.

Version 1
DFT (PBE-GGA) results for TlRePd3 after structural relaxation.

Geometry as POSCAR:
```
TlRePd3
1.0
4.9748 0.0000 0.0000
0.0000 4.9748 0.0000
0.0000 0.0000 4.9748
Tl Re Pd
1 1 3
direct
0.0000 0.0000 0.0000 Tl
0.5000 0.5000 0.5000 Re
0.0000 0.0000 0.5000 Pd
0.0000 0.5000 0.0000 Pd
0.5000 0.0000 0.0000 Pd
```

Version 2
DFT (PBE-GGA) results for TlRePd3 after structural relaxation.

Geometry as POSCAR:
```
TlRePd3
1.0
4.8775 0.0000 0.0000
0.0000 4.8775 0.0000
0.0000 0.0000 4.8775
Tl Re Pd
1 1 3
direct
0.0000 0.0000 0.0000 Tl
0.5000 0.5000 0.5000 Re
0.0000 0.5000 0.5000 Pd
0.5000 0.0000 0.5000 Pd
0.5000 0.5000 0.0000 Pd
```

Stability check: which of them is least stable? version 1.

Version 1
DFT (PBE-GGA) results for TlRePd2 after structural relaxation.

Geometry as POSCAR:
```
TlRePd2
1.0
0.0000 3.2504 3.2504
3.2504 0.0000 3.2504
3.2504 3.2504 0.0000
Tl Re Pd
1 1 2
direct
0.0000 0.0000 0.0000 Tl
0.5000 0.5000 0.5000 Re
0.2500 0.2500 0.2500 Pd
0.7500 0.7500 0.7500 Pd
```

Version 2
DFT (PBE-GGA) results for TlRePd2 after structural relaxation.

Geometry as POSCAR:
```
TlRePd2
1.0
-2.0043 2.0043 9.2714
2.0043 -2.0043 9.2714
2.0043 2.0043 -9.2714
Tl Re Pd
2 2 4
direct
0.0000 0.0000 0.0000 Tl
0.7500 0.2500 0.5000 Tl
0.2500 0.7500 0.5000 Re
0.5000 0.5000 0.0000 Re
0.1435 0.6250 0.0185 Pd
0.3750 0.3935 0.5185 Pd
0.6065 0.1250 0.9815 Pd
0.8750 0.8565 0.4815 Pd
```

Stability check: which of them is least stable? version 2.